1.
DFT (PBE-GGA) results for a relaxed Tb4Ho3Mg crystal.

Results
Distance to the lowest polymorph of the same formula ... 0.000 eV per atom
SG ... Pmn2_1
Formation energy from the elements ... 0.006 eV per atom

Cell lengths 6.1907, 7.0751, 11.2216 Å; angles 90.00, 90.00, 90.00 degrees
Last column: nearest neighbours and their distance in Å.
Fractional coordinates of all 16 atoms:
Tb 0.1620 0.8760 0.0000  4 Ho 3.44-3.68, 6 Tb 3.44-3.69, 2 Mg 3.50-3.57
Tb 0.6398 0.1263 0.0000  6 Tb 3.45-3.69, 4 Ho 3.52-3.55, 2 Mg 3.54-3.63
Tb 0.9870 0.1284 0.2439  1 Mg 3.42, 6 Tb 3.44-3.59, 5 Ho 3.48-3.62
Tb 0.4870 0.8716 0.2561  1 Mg 3.42, 6 Tb 3.44-3.59, 5 Ho 3.48-3.62
Tb 0.1398 0.8737 0.5000  6 Tb 3.45-3.69, 4 Ho 3.52-3.55, 2 Mg 3.54-3.63
Tb 0.6620 0.1240 0.5000  4 Ho 3.44-3.68, 6 Tb 3.44-3.69, 2 Mg 3.50-3.57
Tb 0.4870 0.8716 0.7439  1 Mg 3.42, 6 Tb 3.44-3.59, 5 Ho 3.48-3.62
Tb 0.9870 0.1284 0.7561  1 Mg 3.42, 6 Tb 3.44-3.59, 5 Ho 3.48-3.62
Ho 0.6388 0.6277 0.0000  6 Tb 3.44-3.68, 4 Ho 3.45-3.51, 2 Mg 3.50-3.60
Ho 0.9763 0.6220 0.2450  2 Mg 3.41-3.51, 4 Ho 3.45-3.55, 6 Tb 3.48-3.62
Ho 0.4763 0.3780 0.2550  2 Mg 3.41-3.51, 4 Ho 3.45-3.55, 6 Tb 3.48-3.62
Ho 0.1388 0.3723 0.5000  6 Tb 3.44-3.68, 4 Ho 3.45-3.51, 2 Mg 3.50-3.60
Ho 0.4763 0.3780 0.7450  2 Mg 3.41-3.51, 4 Ho 3.45-3.55, 6 Tb 3.48-3.62
Ho 0.9763 0.6220 0.7550  2 Mg 3.41-3.51, 4 Ho 3.45-3.55, 6 Tb 3.48-3.62
Mg 0.1480 0.3809 0.0000  6 Ho 3.41-3.60, 6 Tb 3.42-3.63
Mg 0.6480 0.6191 0.5000  6 Ho 3.41-3.60, 6 Tb 3.42-3.63

2.
DFT (PBE-GGA) results for a relaxed Pu8Te4As3P crystal.

Results
SG ... R-3m
ΔE_f (raw) ... -1.098 eV per atom

Cell lengths 8.5192, 8.6138, 8.5192 Å; angles 119.64, 120.00, 90.00 degrees
Last column: nearest neighbours and their distance in Å.
Fractional coordinates of all 16 atoms:
Pu 0.2374 0.7208 0.9834  1 P 2.88, 2 As 2.93, 3 Te 3.14-3.19
Pu 0.2374 0.7208 0.4748  1 P 2.88, 2 As 2.93, 3 Te 3.14-3.19
Pu 0.2585 0.2754 0.5170  3 As 2.93, 3 Te 3.14
Pu 0.7460 0.7208 0.9834  1 P 2.88, 2 As 2.93, 3 Te 3.14-3.19
Pu 0.2540 0.2792 0.0166  1 P 2.88, 2 As 2.93, 3 Te 3.14-3.19
Pu 0.7415 0.7246 0.4830  3 As 2.93, 3 Te 3.14
Pu 0.7626 0.2792 0.5252  1 P 2.88, 2 As 2.93, 3 Te 3.14-3.19
Pu 0.7626 0.2792 0.0166  1 P 2.88, 2 As 2.93, 3 Te 3.14-3.19
Te 0.5000 0.0000 0.0000  6 Pu 3.19
Te 0.5000 0.0000 0.5000  6 Pu 3.14
Te 0.0000 0.0000 0.0000  6 Pu 3.14
Te 0.0000 0.0000 0.5000  6 Pu 3.14
As 0.5000 0.5000 0.0000  6 Pu 2.93
As 0.5000 0.5000 0.5000  6 Pu 2.93
As 0.0000 0.5000 0.5000  6 Pu 2.93
P 0.0000 0.5000 0.0000  6 Pu 2.88

3.
DFT (PBE-GGA) results for a relaxed In4HgSb crystal.

Results
Distance to the lowest polymorph of the same formula ... 0.124 eV per atom
SG ... F-43m
ΔE_f (raw) ... 0.178 eV per atom

Cell lengths 6.2503, 6.2503, 6.2503 Å; angles 60.00, 60.00, 60.00 degrees
Last column: nearest neighbours and their distance in Å.
Fractional coordinates of all 6 atoms:
In 0.8746 0.3751 0.3751  6 In 3.12-3.13
In 0.3751 0.3751 0.8746  6 In 3.12-3.13
In 0.3751 0.8746 0.3751  6 In 3.12-3.13
In 0.3751 0.3751 0.3751  6 In 3.12-3.13
Hg 0.0000 0.0000 0.0000  12 In 3.66, 4 Sb 3.83
Sb 0.7500 0.7500 0.7500  12 In 3.66, 4 Hg 3.83

Number 1: ρ 7.8 Mg/m³. Number 2: ρ 10.2 Mg/m³. Number 3: ρ 7.5 Mg/m³.